This record from Alexandria via LeMat-Bulk describes Zr3TcAs after structural relaxation. The functional is PBE-GGA.

Properties
Energy relative to the lowest polymorph listed for this composition (meV/atom): 0
Symmetry: Pm-3m (221)
Calculated formation energy (eV/atom): 0.3692

Unit cell a=4.9890 b=4.9890 c=4.9890 alpha=90.00 beta=90.00 gamma=90.00
Closest atoms and distances in Å follow each position.
Fractional positions:
Zr: 0.0000 0.0000 0.5000  2 Tc 2.49
Zr: 0.0000 0.5000 0.0000  2 Tc 2.49
Zr: 0.5000 0.0000 0.0000  2 Tc 2.49
Tc: 0.0000 0.0000 0.0000  6 Zr 2.49
As: 0.5000 0.5000 0.5000  12 Zr 3.53

=====

This record from Alexandria via LeMat-Bulk describes ZrTc2As after structural relaxation. The functional is PBE-GGA.

Properties
Symmetry: I-42d (122)
Calculated formation energy (eV/atom): 0.0209

Unit cell a=9.7884 b=9.7884 c=9.7884 alpha=156.79 beta=156.79 gamma=33.05
Closest atoms and distances in Å follow each position.
Fractional positions:
Zr: 0.0000 0.0000 0.0000  4 As 2.78, 4 Tc 2.85
Zr: 0.7500 0.2500 0.5000  4 As 2.78, 4 Tc 2.85
Tc: 0.1985 0.6250 0.0735  2 Tc 2.41, 2 As 2.64
Tc: 0.3750 0.4485 0.5735  2 Tc 2.41, 2 As 2.64
Tc: 0.5515 0.1250 0.9265  2 Tc 2.41, 2 As 2.64
Tc: 0.8750 0.8015 0.4265  2 Tc 2.41, 2 As 2.64
As: 0.2500 0.7500 0.5000  4 Tc 2.64, 4 Zr 2.78
As: 0.5000 0.5000 0.0000  4 Tc 2.64, 4 Zr 2.78

=====

This record from Alexandria via LeMat-Bulk describes ZrTc2As after structural relaxation. The functional is PBE-GGA.

Properties
Symmetry: Pm (6)
Calculated formation energy (eV/atom): -0.2422

Unit cell a=3.0495 b=4.4639 c=5.0113 alpha=90.00 beta=104.30 gamma=90.00
Closest atoms and distances in Å follow each position.
Fractional positions:
Zr: 0.0000 0.0000 0.0000  2 Tc 2.54-2.65, 2 As 2.84
Tc: 0.1953 0.5000 0.6794  3 As 2.61-2.71, 2 Tc 2.73, 2 Zr 2.90
Tc: 0.5531 0.0000 0.4987  2 Zr 2.54-2.65, 2 As 2.59, 2 Tc 2.73
As: 0.5369 0.5000 0.2334  5 Tc 2.59-2.71, 2 Zr 2.84

=====

This record from Alexandria via LeMat-Bulk describes Zr2TcAs after structural relaxation. The functional is PBE-GGA.

Properties
Symmetry: I4/mmm (139)
Calculated formation energy (eV/atom): -0.3884

Unit cell a=4.9261 b=4.9261 c=4.9261 alpha=127.35 beta=127.35 gamma=77.68
Closest atoms and distances in Å follow each position.
Fractional positions:
Zr: 0.2500 0.7500 0.5000  4 As 2.91, 4 Tc 2.91, 4 Zr 3.09
Zr: 0.7500 0.2500 0.5000  4 As 2.91, 4 Tc 2.91, 4 Zr 3.09
Tc: 0.0000 0.0000 0.0000  8 Zr 2.91, 4 As 3.09
As: 0.5000 0.5000 0.0000  8 Zr 2.91, 4 Tc 3.09

=====

This record from Alexandria via LeMat-Bulk describes ZrTc2As after structural relaxation. The functional is PBE-GGA.

Properties
Symmetry: Cm (8)
Calculated formation energy (eV/atom): -0.2249

Unit cell a=5.3232 b=5.3232 c=4.2785 alpha=113.65 beta=113.65 gamma=35.86
Closest atoms and distances in Å follow each position.
Fractional positions:
Zr: 0.0000 0.0000 0.0000  6 Tc 2.70-2.89, 2 As 2.91
Tc: 0.2404 0.2404 0.7409  4 As 2.70, 2 Tc 2.83, 2 Zr 2.89
Tc: 0.4894 0.4894 0.4893  2 As 2.66, 4 Zr 2.70, 2 Tc 2.83
As: 0.7616 0.7616 0.2628  6 Tc 2.66-2.70, 2 Zr 2.91

=====

This record from Alexandria via LeMat-Bulk describes Zr2TcAs after structural relaxation. The functional is PBE-GGA.

Properties
Symmetry: F-43m (216)
Calculated formation energy (eV/atom): -0.1399

Unit cell a=4.6646 b=4.6646 c=4.6646 alpha=60.00 beta=60.00 gamma=60.00
Closest atoms and distances in Å follow each position.
Fractional positions:
Zr: 0.0000 0.0000 0.0000  4 Zr 2.86, 4 Tc 2.86
Zr: 0.2500 0.2500 0.2500  4 As 2.86, 4 Zr 2.86
Tc: 0.7500 0.7500 0.7500  4 Zr 2.86, 4 As 2.86
As: 0.5000 0.5000 0.5000  4 Tc 2.86, 4 Zr 2.86

=====

This record from Alexandria via LeMat-Bulk describes ZrTc2As after structural relaxation. The functional is PBE-GGA.

Properties
Symmetry: P2/m (10)
Calculated formation energy (eV/atom): -0.1077

Unit cell a=3.0532 b=4.5569 c=4.8485 alpha=90.00 beta=90.92 gamma=90.00
Closest atoms and distances in Å follow each position.
Fractional positions:
Zr: 0.0000 0.0000 0.0000  4 Tc 2.80, 4 As 2.84-2.89, 2 Zr 3.05
Tc: 0.3484 0.5000 0.7485  2 Tc 2.59-2.60, 2 As 2.62, 2 Zr 2.80
Tc: 0.6516 0.5000 0.2515  2 Tc 2.59-2.60, 2 As 2.62, 2 Zr 2.80
As: 0.5000 0.0000 0.5000  4 Tc 2.62, 4 Zr 2.84-2.89

=====

This record from Alexandria via LeMat-Bulk describes ZrTc2As after structural relaxation. The functional is PBE-GGA.

Properties
Symmetry: Cmmm (65)
Calculated formation energy (eV/atom): 0.0767

Unit cell a=3.0074 b=3.0074 c=8.0939 alpha=90.00 beta=90.00 gamma=112.58
Closest atoms and distances in Å follow each position.
Fractional positions:
Zr: 0.0000 0.0000 0.0000  4 Tc 2.76, 4 Zr 3.01
Tc: 0.5000 0.5000 0.2709  2 As 2.49, 2 Zr 2.76
Tc: 0.5000 0.5000 0.7291  2 As 2.49, 2 Zr 2.76
As: 0.0000 0.0000 0.5000  4 Tc 2.49

=====

This record from Alexandria via LeMat-Bulk describes Zr2TcAs after structural relaxation. The functional is PBE-GGA.

Properties
Symmetry: P4mm (99)
Calculated formation energy (eV/atom): -0.2873

Unit cell a=3.5564 b=3.5564 c=5.9253 alpha=90.00 beta=90.00 gamma=90.00
Closest atoms and distances in Å follow each position.
Fractional positions:
Zr: 0.0000 0.0000 0.0000  4 Tc 2.87, 2 As 2.91-3.01, 4 Zr 3.08
Zr: 0.5000 0.5000 0.3009  1 Tc 2.77, 4 As 2.80, 4 Zr 3.08
Tc: 0.5000 0.5000 0.7677  5 Zr 2.77-2.87, 4 As 2.95
As: 0.0000 0.0000 0.5085  6 Zr 2.80-3.01, 4 Tc 2.95

=====

This record from Alexandria via LeMat-Bulk describes ZrTcAs2 after structural relaxation. The functional is PBE-GGA.

Properties
Energy relative to the lowest polymorph listed for this composition (meV/atom): 402
Symmetry: R-3m (166)
Calculated formation energy (eV/atom): -0.1846

Unit cell a=8.3256 b=8.3256 c=8.3256 alpha=21.91 beta=21.91 gamma=21.91
Closest atoms and distances in Å follow each position.
Fractional positions:
Zr: 0.0000 0.0000 0.0000  6 As 2.91, 6 Zr 3.16
Tc: 0.5000 0.5000 0.5000  6 As 2.56
As: 0.2403 0.2403 0.2403  3 Tc 2.56
As: 0.7597 0.7597 0.7597  3 Tc 2.56

=====

This record from Alexandria via LeMat-Bulk describes Zr4TcAs after structural relaxation. The functional is PBE-GGA.

Properties
Symmetry: F-43m (216)
Calculated formation energy (eV/atom): 0.4760

Unit cell a=5.5907 b=5.5907 c=5.5907 alpha=60.00 beta=60.00 gamma=60.00
Closest atoms and distances in Å follow each position.
Fractional positions:
Zr: 0.3762 0.3762 0.3762  6 Zr 2.77-2.82
Zr: 0.3762 0.3762 0.8713  6 Zr 2.77-2.82
Zr: 0.3762 0.8713 0.3762  6 Zr 2.77-2.82
Zr: 0.8713 0.3762 0.3762  6 Zr 2.77-2.82
Tc: 0.7500 0.7500 0.7500  12 Zr 3.27, 4 As 3.42
As: 0.0000 0.0000 0.0000  12 Zr 3.28, 4 Tc 3.42

=====

This record from Alexandria via LeMat-Bulk describes Zr2TcAs after structural relaxation. The functional is PBE-GGA.

Properties
Symmetry: Amm2 (38)
Calculated formation energy (eV/atom): -0.6763

Unit cell a=4.2349 b=5.3881 c=5.3881 alpha=37.97 beta=90.00 gamma=90.00
Closest atoms and distances in Å follow each position.
Fractional positions:
Zr: 0.0000 0.0000 0.0000  3 Tc 2.67-2.99, 4 As 2.83
Zr: 0.5000 0.2887 0.2887  4 Tc 2.80, 3 As 2.83-2.86
Tc: 0.0000 0.7377 0.7377  7 Zr 2.67-2.99, 2 As 2.74
As: 0.5000 0.5664 0.5664  2 Tc 2.74, 7 Zr 2.83-2.86

=====

Number 1: size of the total moment 0.0 μB/f.u.. Number 2: size of the total moment 0.0 μB/f.u.. Number 3: size of the total moment 0.0 μB/f.u.. Number 4: size of the total moment 0.0 μB/f.u.. Number 5: size of the total moment 0.0 μB/f.u.. Number 6: size of the total moment 0.5 μB/f.u.. Number 7: size of the total moment 0.0 μB/f.u.. Number 8: size of the total moment 0.0 μB/f.u.. Number 9: size of the total moment 0.0 μB/f.u.. Number 10: size of the total moment 0.0 μB/f.u.. Number 11: size of the total moment 0.0 μB/f.u.. Number 12: size of the total moment 0.0 μB/f.u..